# 1
BaNaO3 (GGA-PBE, optimized geometry); SG = No. 221; E_form (uncorrected) = -4.721 eV per formula unit; density = 4547 kg/m3
1.0
4.237 0.000 0.000
0.000 4.237 0.000
0.000 0.000 4.237
Ba Na O
1 1 3
direct
0.000 0.000 0.000
0.500 0.500 0.500
0.000 0.500 0.500
0.500 0.000 0.500
0.500 0.500 0.000

# 2
Li2ScBiF (GGA-PBE, optimized geometry); SG = No. 123; E_form (uncorrected) = -6.624 eV per formula unit; density = 5521 kg/m3
1.0
4.303 0.000 0.000
0.000 4.303 0.000
0.000 0.000 4.658
Li Sc Bi F
2 1 1 1
direct
0.000 0.500 0.000
0.500 0.000 0.000
0.000 0.000 0.500
0.500 0.500 0.500
0.000 0.000 0.000

# 3
Na2AlIn8 (GGA-PBE, optimized geometry); formation enthalpy at 0 K = -29 meV per atom; SG = No. 123; density = 5702 kg/m3
1.0
4.928 0.000 0.000
0.000 4.928 0.000
0.000 0.000 11.887
Na Al In
2 1 8
direct
0.000 0.000 0.183
0.000 0.000 0.817
0.000 0.000 0.500
0.000 0.500 0.000
0.000 0.500 0.366
0.000 0.500 0.634
0.500 0.000 0.000
0.500 0.000 0.366
0.500 0.000 0.634
0.500 0.500 0.185
0.500 0.500 0.815

Number 1: VASP energy -22.8 eV per cell. Number 2: VASP energy -22.5 eV per cell. Number 3: VASP energy -28.6 eV per cell.